The following is a PBE-GGA calculation of an optimized crystal structure of NdLu2Pb, from Alexandria.

size of the total moment: 0.00 μB/atom
formation energy: 0.0715 eV per atom

Unit cell a=12.100 b=12.100 c=12.100 alpha=16.74 beta=16.74 gamma=16.74
Fractional positions:
Nd  0.000  0.000  0.000
Lu  0.413  0.413  0.413
Lu  0.587  0.587  0.587
Pb  0.500  0.500  0.500